{"formula": "Pm2B3Os2", "functional": "GGA-PBE", "state": "relaxed", "lattice_angstrom": [[4.035, 0.000, 0.000], [0.000, 5.656, 0.238], [-2.018, -1.592, 5.188]], "species": ["Pm", "Pm", "B", "B", "B", "Os", "Os"], "frac_coords": [[0.596, 0.809, 0.193], [0.404, 0.191, 0.807], [0.000, 0.500, 0.000], [0.324, 0.692, 0.647], [0.676, 0.308, 0.353], [0.840, 0.610, 0.679], [0.160, 0.390, 0.321]], "m_tot_mub_per_cell": 0.00, "delta_e_f_ev_per_fu": -2.7, "n_ef_per_ev_atom": 0.47, "e_above_lowest_polymorph_mev_per_atom": 32}